# SrTaRu2 (PBE, relaxed)
data_SrTaRu2
_chemical_formula_sum 'Sr3 Ta3 Ru6'
_symmetry_space_group_name_H-M 'R -3 m'
_symmetry_Int_Tables_number 166
_symmetry_space_group_name_Hall '-R 3 2"'
_cell_length_a 3.2435
_cell_length_b 3.2435
_cell_length_c 25.8888
_cell_angle_alpha 90.00
_cell_angle_beta 90.00
_cell_angle_gamma 120.00
loop_
_atom_site_label
_atom_site_type_symbol
_atom_site_fract_x
_atom_site_fract_y
_atom_site_fract_z
Sr1 Sr 0.0000 0.0000 0.0000
Ta1 Ta 0.0000 0.0000 0.5000
Ru1 Ru 0.0000 0.0000 0.2367
# Theoretical density in g cm⁻³: 9.9
# Formation energy in eV per atom: 0.341
# Energy in eV/atom: -7.681
# Volume in Å³ per cell: 235.88
# D(E_F) in states/eV/f.u.: 3.710



# SiTePt2 (PBE, relaxed)
data_SiTePt2
_chemical_formula_sum 'Si1 Te1 Pt2'
_symmetry_space_group_name_H-M 'P 4 m m'
_symmetry_Int_Tables_number 99
_symmetry_space_group_name_Hall 'P 4 -2'
_cell_length_a 3.1294
_cell_length_b 3.1294
_cell_length_c 7.6550
_cell_angle_alpha 90.00
_cell_angle_beta 90.00
_cell_angle_gamma 90.00
loop_
_atom_site_label
_atom_site_type_symbol
_atom_site_fract_x
_atom_site_fract_y
_atom_site_fract_z
Si1 Si 0.0000 0.0000 0.0000
Te1 Te 0.5000 0.5000 0.3584
Pt1 Pt 0.0000 0.0000 0.5892
Pt2 Pt 0.5000 0.5000 0.8478
# Theoretical density in g cm⁻³: 12.1
# Energy in eV/atom: -5.153
# Formation energy without anion corrections in eV per formula unit: 0.03
# Volume in Å³ per cell: 74.97
# D(E_F) in states/eV/f.u.: 2.307